# ZrZn2Te (PBE, optimized geometry)
# * final energy: -3.49 eV/atom
# * N(E_F): 3.8 states/eV per cell
# * raw formation energy: 0.07 eV per atom
data_ZrZn2Te
_space_group_name_H-M_alt 'C m m m'
_space_group_IT_number 65
_space_group_name_Hall '-C 2 2'
_cell_length_a 4.3748
_cell_length_b 4.3822
_cell_length_c 9.2482
_cell_angle_alpha 90.00
_cell_angle_beta 90.00
_cell_angle_gamma 90.00
loop_
_atom_site_label
_atom_site_fract_x
_atom_site_fract_y
_atom_site_fract_z
_atom_site_occupancy
Zr1 0.0000 0.0000 0.0000 1
Zn1 0.0000 0.5000 0.2103 1
Te1 0.0000 0.0000 0.5000 1

# Ti4AgIr (PBE, optimized geometry)
# * final energy: -7.58 eV/atom
# * N(E_F): 3.7 states/eV per cell
# * energy of formation: -0.363 eV per atom
data_Ti4AgIr
_space_group_name_H-M_alt 'P 4/m m m'
_space_group_IT_number 123
_space_group_name_Hall '-P 4 2'
_cell_length_a 3.0241
_cell_length_b 3.0241
_cell_length_c 10.8193
_cell_angle_alpha 90.00
_cell_angle_beta 90.00
_cell_angle_gamma 90.00
loop_
_atom_site_label
_atom_site_fract_x
_atom_site_fract_y
_atom_site_fract_z
_atom_site_occupancy
Ti1 0.0000 0.0000 0.1508 1
Ti2 0.5000 0.5000 0.3161 1
Ag1 0.0000 0.0000 0.5000 1
Ir1 0.5000 0.5000 0.0000 1